Density functional theory data (GGA-PBE) for a relaxed NbAlFeGe2 crystal.

For the density of states at the Fermi level, the calculation gives 6.0 states/eV/cell. The calculation puts the formation energy at 28.33 kcal/mol of atoms. The value obtained for the final energy is -5.073 eV/atom.

The structure belongs to space group P4/mmm (No. 123); the cell edges are 4.653, 4.653 and 4.852 Å and the angles 90.00°, 90.00° and 90.00°. Symmetry generates all atoms from Nb at (0.000, 0.000, 0.000), Al at (0.000, 0.000, 0.500), Fe at (0.500, 0.500, 0.000) and Ge at (0.000, 0.500, 0.500).

---

Density functional theory data (GGA-PBE) for a relaxed RbHf3Cr crystal.

The relative energy among the computed polymorphs is 0.0000 eV per atom. For the density of states at the Fermi level, the calculation gives 7.0 states/eV/cell. The calculation puts the formation energy at 22.39 kcal/mol of atoms. The value obtained for the final energy is -7.119 eV/atom.

The structure belongs to space group Pm-3m (No. 221); the cell edges are 5.062, 5.062 and 5.062 Å and the angles 90.00°, 90.00° and 90.00°. Symmetry generates all atoms from Rb at (0.000, 0.000, 0.000), Hf at (0.000, 0.500, 0.500) and Cr at (0.500, 0.500, 0.500).